No. 1
The following is a PBE calculation of a relaxed HfMgZn crystal, from Alexandria.

a = 5.7311 Å, b = 5.7311 Å, c = 7.9411 Å
α = 123.00°, β = 123.00°, γ = 32.81°
Last column: nearest neighbours and their distance in Å.
Sites, in units of the cell vectors:
Hf  0.1088  0.1088  0.3544  5 Zn 2.87-2.99, 2 Hf 3.07, 2 Mg 3.21
Hf  0.8912  0.8912  0.6456  5 Zn 2.87-2.99, 2 Hf 3.07, 2 Mg 3.21
Mg  0.3516  0.3516  0.9600  3 Zn 2.75-2.84, 1 Mg 2.95
Mg  0.6484  0.6484  0.0400  3 Zn 2.75-2.84, 1 Mg 2.95
Zn  0.3717  0.3717  0.3325  1 Zn 2.55, 3 Mg 2.75-2.84
Zn  0.6283  0.6283  0.6675  1 Zn 2.55, 3 Mg 2.75-2.84

* M_tot: 0.00 μB/cell
* SG: C2/m, No. 12

No. 2
The following is a PBE calculation of a relaxed HfMgZn crystal, from Alexandria.

a = 3.0443 Å, b = 3.0443 Å, c = 7.4604 Å
α = 90.00°, β = 90.00°, γ = 120.00°
Last column: nearest neighbours and their distance in Å.
Sites, in units of the cell vectors:
Hf  0.0000  0.0000  0.0000  3 Zn 2.97, 6 Hf 3.04, 3 Mg 3.23
Mg  0.3333  0.6667  0.6367  3 Zn 2.94, 6 Mg 3.04, 3 Hf 3.23
Zn  0.6667  0.3333  0.3209  3 Mg 2.94, 3 Hf 2.97, 6 Zn 3.04

* M_tot: 0.00 μB/cell
* SG: P3m1, No. 156

Number 1: formation enthalpy at 0 K -0.051 eV per atom. Number 2: formation enthalpy at 0 K 0.055 eV per atom.